CsTl3Ag | PBE-GGA | relaxed

Cell and atoms, written as POSCAR:
```
CsTl3Ag
1.0
8.635 0.000 0.000
0.000 4.652 0.000
-2.865 0.000 8.431
Cs Tl Ag
2 6 2
direct
0.173 0.250 0.166
0.827 0.750 0.834
0.093 0.250 0.640
0.343 0.750 0.901
0.348 0.750 0.517
0.652 0.250 0.483
0.657 0.250 0.099
0.907 0.750 0.360
0.467 0.250 0.741
0.533 0.750 0.259
```

Calculated values
As for the formation energy: -0.005 eV/atom. Its energy above the most stable polymorph in this dataset is 0 meV/atom. The calculation puts the volume at 338.6 Å³/cell. As for the calculated total energy: -2.166 eV/atom. As for the total magnetic moment: 0.0 Bohr magnetons per cell.